The following is a DFT calculation (PBE) of a relaxed structure of Ac8InIr4.

Cell and atoms, written as POSCAR:
```
Ac8InIr4
1.0
0.497 -0.116 4.366
-6.045 -8.739 2.668
7.729 -7.083 1.144
Ac In Ir
8 1 4
direct
0.139 0.395 0.328 Ac
0.552 0.226 0.670 Ac
0.470 0.733 0.327 Ac
0.883 0.564 0.669 Ac
0.847 0.314 0.991 Ac
0.219 0.903 0.659 Ac
0.175 0.644 0.006 Ac
0.803 0.056 0.338 Ac
0.511 0.980 0.998 In
0.366 0.441 0.827 Ir
0.850 0.805 0.496 Ir
0.173 0.154 0.501 Ir
0.656 0.518 0.170 Ir
```

Values from the calculation:
For the density of states at the Fermi level, the calculation gives 8.90 states/eV/f.u. For the distance to the lowest polymorph of the same formula, the calculation gives 0.0 meV/atom. Its total energy is -6.01 eV/atom. The calculation puts the calculated density at 9.281 g cm⁻³. The calculation puts the formation energy from the elements at -0.54 eV/atom.

=====

The following is a DFT calculation (PBE) of a relaxed structure of La2TbHoTe6.

Cell and atoms, written as POSCAR:
```
La2TbHoTe6
1.0
-1.072 -4.986 -6.097
6.195 -3.935 -3.053
0.579 -8.257 1.470
La Tb Ho Te
2 1 1 6
direct
0.517 0.517 0.448 La
0.017 0.017 0.949 La
0.822 0.822 0.534 Tb
0.322 0.322 0.033 Ho
0.595 0.206 0.258 Te
0.205 0.942 0.258 Te
0.942 0.595 0.258 Te
0.439 0.704 0.759 Te
0.704 0.097 0.759 Te
0.097 0.439 0.759 Te
```

Values from the calculation:
For the density of states at the Fermi level, the calculation gives 0.00 states/eV/f.u. Its total energy is -5.23 eV/atom. The calculation puts the calculated density at 5.891 g cm⁻³. The uncorrected formation energy is -1439 meV/atom.

=====

The following is a DFT calculation (PBE) of a relaxed structure of K5Ge4.

Cell and atoms, written as POSCAR:
```
K5Ge4
1.0
-0.665 -1.980 -5.024
-4.274 -4.826 -0.479
-8.504 5.106 -3.833
K Ge
5 4
direct
0.125 0.161 0.589 K
0.875 0.839 0.411 K
0.750 0.662 0.837 K
0.250 0.338 0.163 K
0.000 0.000 0.000 K
0.455 0.277 0.813 Ge
0.545 0.723 0.187 Ge
0.418 0.541 0.623 Ge
0.582 0.459 0.377 Ge
```

Values from the calculation:
For the density of states at the Fermi level, the calculation gives 3.49 states/eV/f.u. Its total energy is -2.74 eV/atom. The calculation puts the calculated density at 2.474 g cm⁻³. The calculation puts the formation energy from the elements at -0.08 eV/atom.

=====

The following is a DFT calculation (PBE) of a relaxed structure of AlHgPbBr6.

Cell and atoms, written as POSCAR:
```
AlHgPbBr6
1.0
-6.503 3.260 0.681
-3.764 -0.658 6.213
2.974 5.432 2.340
Al Hg Pb Br
1 1 1 6
direct
0.334 0.333 0.500 Al
0.000 0.000 0.000 Hg
0.666 0.667 0.500 Pb
0.052 0.333 0.273 Br
0.333 0.052 0.726 Br
0.614 0.335 0.727 Br
0.051 0.615 0.727 Br
0.334 0.614 0.274 Br
0.615 0.051 0.273 Br
```

Values from the calculation:
For the density of states at the Fermi level, the calculation gives 4.60 states/eV/f.u. Its total energy is -2.72 eV/atom. The calculation puts the calculated density at 4.963 g cm⁻³. The uncorrected formation energy is -748 meV/atom.

=====

The following is a DFT calculation (PBE) of a relaxed structure of HfNb2HPb.

Cell and atoms, written as POSCAR:
```
HfNb2HPb
1.0
-3.280 -1.773 -2.037
0.482 -3.538 2.302
-2.848 1.657 3.144
Pb H Nb Hf
1 1 2 1
direct
0.500 0.500 0.500 Pb
0.000 0.000 0.000 H
0.000 0.500 0.000 Nb
0.500 0.000 0.000 Nb
0.000 0.000 0.500 Hf
```

Values from the calculation:
For the density of states at the Fermi level, the calculation gives 3.27 states/eV/f.u. Its total energy is -7.48 eV/atom. The calculation puts the calculated density at 11.563 g cm⁻³.

=====

The following is a DFT calculation (PBE) of a relaxed structure of Tb2PmPr4Er2.

Cell and atoms, written as POSCAR:
```
Tb2PmPr4Er2
1.0
5.125 0.000 0.000
-2.562 7.705 0.009
0.000 -2.557 7.682
Tb Pm Pr Er
2 1 4 2
direct
0.888 0.777 0.331 Tb
0.112 0.223 0.669 Tb
0.000 0.000 0.000 Pm
0.777 0.554 0.669 Pr
0.223 0.446 0.331 Pr
0.554 0.108 0.331 Pr
0.446 0.892 0.669 Pr
0.332 0.664 0.001 Er
0.668 0.336 0.999 Er
```

Values from the calculation:
For the density of states at the Fermi level, the calculation gives 13.47 states/eV/f.u. Its total energy is -4.68 eV/atom. The calculation puts the calculated density at 7.447 g cm⁻³. The calculation puts the formation energy from the elements at 0.02 eV/atom.

=====

The following is a DFT calculation (PBE) of a relaxed structure of HoTmSc6.

Cell and atoms, written as POSCAR:
```
HoTmSc6
1.0
-3.430 -1.212 -3.820
0.097 -6.465 1.964
-4.494 4.276 2.680
Ho Tm Sc
1 1 6
direct
0.500 0.416 0.584 Ho
0.000 0.084 0.916 Tm
0.000 0.077 0.413 Sc
0.000 0.587 0.923 Sc
0.000 0.586 0.414 Sc
0.500 0.423 0.087 Sc
0.500 0.913 0.577 Sc
0.500 0.914 0.086 Sc
```

Values from the calculation:
For the density of states at the Fermi level, the calculation gives 15.40 states/eV/f.u. For the distance to the lowest polymorph of the same formula, the calculation gives 0.0 meV/atom. Its total energy is -5.87 eV/atom. The calculation puts the calculated density at 4.804 g cm⁻³. The calculation puts the formation energy from the elements at 0.01 eV/atom.

=====

The following is a DFT calculation (PBE) of a relaxed structure of TaTi3Ir4.

Cell and atoms, written as POSCAR:
```
TaTi3Ir4
1.0
4.713 0.000 0.000
0.000 5.789 0.000
0.000 0.000 9.056
Ti Ir Ta
6 8 2
direct
0.000 0.000 0.000 Ti
0.000 0.000 0.500 Ti
0.588 0.000 0.750 Ti
0.412 0.000 0.250 Ti
0.579 0.500 0.750 Ti
0.421 0.500 0.250 Ti
0.500 0.752 0.000 Ir
0.500 0.752 0.500 Ir
0.500 0.248 0.000 Ir
0.500 0.248 0.500 Ir
0.102 0.753 0.750 Ir
0.898 0.753 0.250 Ir
0.898 0.247 0.250 Ir
0.102 0.247 0.750 Ir
0.000 0.500 0.000 Ta
0.000 0.500 0.500 Ta
```

Values from the calculation:
For the density of states at the Fermi level, the calculation gives 6.59 states/eV/f.u. Its total energy is -9.64 eV/atom. The calculation puts the calculated density at 14.695 g cm⁻³. The calculation puts the formation energy from the elements at -0.76 eV/atom.

=====

The following is a DFT calculation (PBE) of a relaxed structure of Ac2PmTl4.

Cell and atoms, written as POSCAR:
```
Ac2PmTl4
1.0
6.431 0.000 -0.598
0.000 6.601 0.000
-2.850 0.000 10.999
Ac Pm Tl
4 2 8
direct
0.655 0.750 0.994 Ac
0.345 0.250 0.006 Ac
0.287 0.250 0.417 Ac
0.713 0.750 0.583 Ac
0.232 0.750 0.196 Pm
0.768 0.250 0.804 Pm
0.691 0.500 0.286 Tl
0.080 0.750 0.888 Tl
0.920 0.250 0.112 Tl
0.691 0.000 0.286 Tl
0.858 0.250 0.548 Tl
0.309 0.000 0.714 Tl
0.309 0.500 0.714 Tl
0.142 0.750 0.452 Tl
```

Values from the calculation:
For the density of states at the Fermi level, the calculation gives 4.65 states/eV/f.u. For the distance to the lowest polymorph of the same formula, the calculation gives 0.0 meV/atom. Its total energy is -3.50 eV/atom. The calculation puts the calculated density at 10.324 g cm⁻³. The calculation puts the formation energy from the elements at -0.30 eV/atom.

=====

The following is a DFT calculation (PBE) of a relaxed structure of Ce2GdAg.

Cell and atoms, written as POSCAR:
```
Ce2GdAg
1.0
3.462 0.000 0.000
0.000 5.610 0.000
0.000 0.000 5.610
Gd Ag Ce
1 1 2
direct
0.500 0.500 0.500 Gd
0.500 0.000 0.000 Ag
0.000 0.000 0.500 Ce
0.000 0.500 0.000 Ce
```

Values from the calculation:
For the density of states at the Fermi level, the calculation gives 11.71 states/eV/f.u. For the distance to the lowest polymorph of the same formula, the calculation gives 44.2 meV/atom. Its total energy is -7.10 eV/atom. The calculation puts the calculated density at 8.309 g cm⁻³. The calculation puts the formation energy from the elements at 0.10 eV/atom.

=====

The following is a DFT calculation (PBE) of a relaxed structure of YBi2F2.

Cell and atoms, written as POSCAR:
```
YBi2F2
1.0
6.253 0.000 0.000
0.000 6.253 0.000
0.000 0.000 6.736
Y Bi F
2 4 4
direct
0.000 0.000 0.000 Y
0.500 0.500 0.000 Y
0.249 0.749 0.500 Bi
0.749 0.751 0.500 Bi
0.751 0.251 0.500 Bi
0.251 0.249 0.500 Bi
0.254 0.754 0.000 F
0.754 0.746 0.000 F
0.746 0.246 0.000 F
0.246 0.254 0.000 F
```

Values from the calculation:
For the density of states at the Fermi level, the calculation gives 1.49 states/eV/f.u. For the distance to the lowest polymorph of the same formula, the calculation gives 0.0 meV/atom. Its total energy is -5.60 eV/atom. The calculation puts the calculated density at 6.870 g cm⁻³. The uncorrected formation energy is -2011 meV/atom.

=====

The following is a DFT calculation (PBE) of a relaxed structure of ReAgCl2.

Cell and atoms, written as POSCAR:
```
ReAgCl2
1.0
-7.128 0.578 -1.152
-6.792 -2.306 -1.013
-2.470 -0.078 4.364
Re Ag Cl
1 1 2
direct
0.750 0.750 0.750 Re
0.250 0.250 0.250 Ag
0.105 0.105 0.895 Cl
0.395 0.395 0.605 Cl
```

Values from the calculation:
For the density of states at the Fermi level, the calculation gives 2.21 states/eV/f.u. For the distance to the lowest polymorph of the same formula, the calculation gives 0.0 meV/atom. Its total energy is -4.57 eV/atom. The calculation puts the calculated density at 6.259 g cm⁻³. The uncorrected formation energy is 183 meV/atom.